Density functional theory data (PBE) for Pu2HgPd2 after structural relaxation.

Cell: 7.657 7.657 3.887 Å, 90.00 90.00 90.00°
Space group P4/mbm (No. 127)
Asymmetric unit:
Pu 0.172 0.328 0.000 x4
Hg 0.000 0.000 0.500 x2
Pd 0.130 0.630 0.500 x4

- Electronic total energy: -41.399 eV/f.u.

Density functional theory data (PBE) for Pu3Hg2Pd3 after structural relaxation.

Cell: 8.4316 8.4316 5.8340 Å, 90.00 90.00 120.00°
Space group P6_3/mcm (No. 193)
Asymmetric unit:
Pu 0.0000 0.2587 0.2500 x6
Hg 0.3333 0.6667 0.0000 x4
Pd 0.0000 0.3954 0.7500 x6

- Electronic total energy: -61.340 eV/f.u.
- Distance to the lowest polymorph of the same formula: 19 meV/atom

Density functional theory data (PBE) for Pu2Hg2Pd7 after structural relaxation.

Cell: 7.566 8.233 7.514 Å, 90.00 90.00 90.00°
Space group Cmmm (No. 65)
Asymmetric unit:
Pu 0.186 0.000 0.000 x4
Hg 0.000 0.323 0.500 x4
Pd 0.000 0.000 0.500 x2
Pd 0.000 0.500 0.187 x4
Pd 0.250 0.250 0.240 x8

- Electronic total energy: -65.384 eV/f.u.

Density functional theory data (PBE) for Pu2Hg2Pd5 after structural relaxation.

Cell: 9.560 4.100 9.400 Å, 90.00 90.18 90.00°
Space group C2/m (No. 12)
Asymmetric unit:
Pu 0.192 0.000 0.108 x4
Hg 0.167 0.500 0.582 x4
Pd 0.000 0.500 0.000 x2
Pd 0.100 0.000 0.792 x4
Pd 0.104 0.500 0.291 x4

- Electronic total energy: -57.705 eV/f.u.

Density functional theory data (PBE) for PuHgPd3 after structural relaxation.

Cell: 10.293 4.687 8.682 Å, 90.00 110.92 90.00°
Space group C2/m (No. 12)
Asymmetric unit:
Pu 0.061 0.000 0.367 x4
Hg 0.096 0.500 0.905 x4
Pd 0.137 0.000 0.095 x4
Pd 0.137 0.500 0.599 x4
Pd 0.213 0.500 0.288 x4

- Electronic total energy: -31.732 eV/f.u.

Density functional theory data (PBE) for Pu2Hg2Pd3 after structural relaxation.

Cell: 4.918 5.538 5.651 Å, 97.78 94.02 108.26°
Space group P-1 (No. 2)
Asymmetric unit:
Pu 0.241 0.453 0.326 x2
Hg 0.106 0.159 0.783 x2
Pd 0.333 0.745 0.909 x2
Pd 0.500 0.000 0.500 x1

- Electronic total energy: -46.930 eV/f.u.

Density functional theory data (PBE) for Pu3HgPd12 after structural relaxation.

Cell: 4.112 4.112 16.392 Å, 90.00 90.00 90.00°
Space group P4/mmm (No. 123)
Asymmetric unit:
Pu 0.000 0.000 0.000 x1
Pu 0.000 0.000 0.255 x2
Hg 0.000 0.000 0.500 x1
Pd 0.000 0.500 0.126 x4
Pd 0.000 0.500 0.373 x4
Pd 0.500 0.500 0.000 x1
Pd 0.500 0.500 0.250 x2
Pd 0.500 0.500 0.500 x1

- Electronic total energy: -107.487 eV/f.u.

Density functional theory data (PBE) for PuHgPd2 after structural relaxation.

Cell: 5.364 5.364 2.954 Å, 90.00 90.00 90.00°
Space group P4/mmm (No. 123)
Asymmetric unit:
Pu 0.000 0.000 0.000 x1
Hg 0.500 0.500 0.500 x1
Pd 0.000 0.500 0.500 x2

- Electronic total energy: -25.618 eV/f.u.

Density functional theory data (PBE) for Pu2Hg3Pd3 after structural relaxation.

Cell: 8.1806 8.1806 2.9867 Å, 90.00 90.00 120.00°
Space group P-62m (No. 189)
Asymmetric unit:
Pu 0.3333 0.6667 0.0000 x2
Hg 0.0000 0.2347 0.0000 x3
Pd 0.0000 0.6510 0.5000 x3

- Electronic total energy: -46.740 eV/f.u.

Density functional theory data (PBE) for PuHgPd2 after structural relaxation.

Cell: 3.430 3.430 6.794 Å, 90.00 90.00 90.00°
Space group P4/mmm (No. 123)
Asymmetric unit:
Pu 0.000 0.000 0.000 x1
Hg 0.000 0.000 0.500 x1
Pd 0.500 0.500 0.269 x2

- Electronic total energy: -26.172 eV/f.u.

Density functional theory data (PBE) for PuHgPdRh after structural relaxation.

Cell: 6.750 6.750 6.750 Å, 90.00 90.00 90.00°
Space group F-43m (No. 216)
Asymmetric unit:
Pu 0.000 0.000 0.000 x4
Hg 0.000 0.000 0.500 x4
Pd 0.250 0.250 0.750 x4
Rh 0.250 0.250 0.250 x4

- Electronic total energy: -28.482 eV/f.u.

Density functional theory data (PBE) for Pu4HgPdRu2 after structural relaxation.

Cell: 4.9536 4.9536 24.3047 Å, 90.00 90.00 120.00°
Space group R-3m (No. 166, hexagonal axes)
Asymmetric unit:
Pu 0.0000 0.0000 0.1196 x6
Pu 0.0000 0.0000 0.3709 x6
Hg 0.0000 0.0000 0.5000 x3
Pd 0.0000 0.0000 0.0000 x3
Ru 0.0000 0.0000 0.2532 x6

- Electronic total energy: -82.242 eV/f.u.